This record from Alexandria describes a relaxed RbReCl6 crystal. The functional is PBE.

Properties
- Uncorrected formation energy: -94.04 kJ/mol of atoms
- Energy relative to the lowest polymorph listed for this composition: 0 meV per atom
- Space-group type: C2/c (15)
- DOS(E_F): 15.1 states/eV per cell

Structure (POSCAR):
```
RbReCl6
1.0
-2.3956 -3.6955 4.8158
6.3284 -1.2859 -2.2603
2.2362 9.1159 8.1077
Cl Re Rb
12 2 2
Cartesian
2.2821 -0.9053 5.7274
2.5562 7.2392 7.8557
6.5691 4.2888 3.1662
3.6128 -3.1046 2.8075
2.3000 -0.2412 1.8243
0.3406 -2.6677 2.9423
4.4945 1.9114 4.1009
-0.4000 -0.1542 7.4969
1.6746 2.2232 6.5623
5.8284 6.8023 7.7209
3.8690 4.3758 8.8388
3.8869 5.0399 4.9357
4.2823 3.9150 2.9237
1.9664 -2.4907 1.2777
-0.4024 0.7959 3.9597
0.2430 4.6246 8.9638
```